# PBE Sn6Pt2Au, optimized geometry
# Energy   -4.66 eV per atom
# ΔH_f (0 K)   -0.289 eV/atom
# Magnetization   0.0 μB/cell
data_Sn6Pt2Au
_cell_length_a 6.9580
_cell_length_b 6.9580
_cell_length_c 5.4975
_cell_angle_alpha 90.00
_cell_angle_beta 90.00
_cell_angle_gamma 120.00
_symmetry_space_group_name_H-M 'P -3 1 m'
_symmetry_Int_Tables_number 162
_symmetry_space_group_name_Hall '-P 3 2'
loop_
_atom_site_label
_atom_site_type_symbol
_atom_site_fract_x
_atom_site_fract_y
_atom_site_fract_z
Sn1 Sn 0.0000 0.3683 0.2805
Pt1 Pt 0.3333 0.6667 0.0000
Au1 Au 0.0000 0.0000 0.5000

=====

# PBE ScMnRh, optimized geometry
# Energy   -7.80 eV per atom
# ΔH_f (0 K)   -0.183 eV/atom
# Polymorph energy (0 for the lowest one)   134 meV per atom
# Magnetization   17.1 μB/cell
data_ScMnRh
_cell_length_a 6.161
_cell_length_b 6.161
_cell_length_c 6.161
_cell_angle_alpha 90.00
_cell_angle_beta 90.00
_cell_angle_gamma 90.00
_symmetry_space_group_name_H-M 'F -4 3 m'
_symmetry_Int_Tables_number 216
_symmetry_space_group_name_Hall 'F -4 2 3'
loop_
_atom_site_label
_atom_site_type_symbol
_atom_site_fract_x
_atom_site_fract_y
_atom_site_fract_z
Sc1 Sc 0.000 0.000 0.000
Mn1 Mn 0.000 0.000 0.500
Rh1 Rh 0.250 0.250 0.250

=====

# PBE CrSnPb3, optimized geometry
# Energy   -4.52 eV per atom
# ΔH_f (0 K)   0.433 eV/atom
# Polymorph energy (0 for the lowest one)   0 meV per atom
# Magnetization   2.9 μB/cell
data_CrSnPb3
_cell_length_a 5.292
_cell_length_b 5.292
_cell_length_c 5.292
_cell_angle_alpha 90.00
_cell_angle_beta 90.00
_cell_angle_gamma 90.00
_symmetry_space_group_name_H-M 'P m -3 m'
_symmetry_Int_Tables_number 221
_symmetry_space_group_name_Hall '-P 4 2 3'
loop_
_atom_site_label
_atom_site_type_symbol
_atom_site_fract_x
_atom_site_fract_y
_atom_site_fract_z
Cr1 Cr 0.000 0.000 0.000
Sn1 Sn 0.500 0.500 0.500
Pb1 Pb 0.000 0.000 0.500

=====

# PBE ScAg2, optimized geometry
# Energy   -4.07 eV per atom
# ΔH_f (0 K)   -0.059 eV/atom
# Polymorph energy (0 for the lowest one)   234 meV per atom
# Magnetization   0.0 μB/cell
data_ScAg2
_cell_length_a 3.589
_cell_length_b 3.589
_cell_length_c 19.604
_cell_angle_alpha 90.00
_cell_angle_beta 90.00
_cell_angle_gamma 90.00
_symmetry_space_group_name_H-M 'I 41/a m d'
_symmetry_Int_Tables_number 141
loop_
_symmetry_equiv_pos_as_xyz
'x,y,z'
'-x,-y,-z'
'-y+1/4,x+3/4,z+1/4'
'y+1/4,-x+3/4,-z+1/4'
'-x+1/2,-y,z+1/2'
'x+1/2,y,-z+1/2'
'y+1/4,-x+1/4,z+3/4'
'-y+1/4,x+1/4,-z+3/4'
'x,-y,-z'
'-x,y,z'
'-y+1/4,-x+1/4,-z+3/4'
'y+1/4,x+1/4,z+3/4'
'-x+1/2,y,-z+1/2'
'x+1/2,-y,z+1/2'
'y+1/4,x+3/4,-z+1/4'
'-y+1/4,-x+3/4,z+1/4'
'x+1/2,y+1/2,z+1/2'
'-x+1/2,-y+1/2,-z+1/2'
'-y+3/4,x+1/4,z+3/4'
'y+3/4,-x+1/4,-z+3/4'
'-x,-y+1/2,z'
'x,y+1/2,-z'
'y+3/4,-x+3/4,z+1/4'
'-y+3/4,x+3/4,-z+1/4'
'x+1/2,-y+1/2,-z+1/2'
'-x+1/2,y+1/2,z+1/2'
'-y+3/4,-x+3/4,-z+1/4'
'y+3/4,x+3/4,z+1/4'
'-x,y+1/2,-z'
'x,-y+1/2,z'
'y+3/4,x+1/4,-z+3/4'
'-y+3/4,-x+1/4,z+3/4'
loop_
_atom_site_label
_atom_site_type_symbol
_atom_site_fract_x
_atom_site_fract_y
_atom_site_fract_z
Sc1 Sc 0.000 0.250 0.375
Ag1 Ag 0.000 0.250 0.802

=====

# PBE Er2ZnSi3Ni4, optimized geometry
# Energy relative to the elements, uncorrected   -0.738 eV/atom
# Energy   -5.72 eV per atom
# Magnetization   0.0 μB/cell
data_Er2ZnSi3Ni4
_cell_length_a 3.963
_cell_length_b 3.963
_cell_length_c 9.573
_cell_angle_alpha 90.00
_cell_angle_beta 90.00
_cell_angle_gamma 90.00
_symmetry_space_group_name_H-M 'P -4 m 2'
_symmetry_Int_Tables_number 115
loop_
_symmetry_equiv_pos_as_xyz
'x,y,z'
'y,-x,-z'
'-x,-y,z'
'-y,x,-z'
'-x,y,z'
'-y,-x,-z'
'x,-y,z'
'y,x,-z'
loop_
_atom_site_label
_atom_site_type_symbol
_atom_site_fract_x
_atom_site_fract_y
_atom_site_fract_z
Er1 Er 0.000 0.500 0.248
Zn1 Zn 0.000 0.000 0.500
Si1 Si 0.000 0.500 0.873
Si2 Si 0.500 0.500 0.500
Ni1 Ni 0.000 0.000 0.000
Ni2 Ni 0.000 0.500 0.637
Ni3 Ni 0.500 0.500 0.000

=====

# PBE Ti4CoIr, optimized geometry
# Energy   -8.16 eV per atom
# ΔH_f (0 K)   -0.236 eV/atom
# Magnetization   0.0 μB/cell
data_Ti4CoIr
_cell_length_a 5.905
_cell_length_b 5.905
_cell_length_c 5.971
_cell_angle_alpha 90.00
_cell_angle_beta 90.08
_cell_angle_gamma 90.00
_symmetry_space_group_name_H-M 'C 1 2/m 1'
_symmetry_Int_Tables_number 12
loop_
_symmetry_equiv_pos_as_xyz
'x,y,z'
'-x,-y,-z'
'-x,y,-z'
'x,-y,z'
'x+1/2,y+1/2,z'
'-x+1/2,-y+1/2,-z'
'-x+1/2,y+1/2,-z'
'x+1/2,-y+1/2,z'
loop_
_atom_site_label
_atom_site_type_symbol
_atom_site_fract_x
_atom_site_fract_y
_atom_site_fract_z
Ti1 Ti 0.250 0.250 0.240
Co1 Co 0.000 0.000 0.000
Ir1 Ir 0.000 0.500 0.500